1.
## La2Er3Tm (PBE)

Data for a geometry-optimized La2Er3Tm structure.

Properties
Total DFT energy (no corrections) in eV per atom: -4.573
Excess energy over the best structure of this formula in the dataset in meV per atom: 63
Calculated formation energy in eV/f.u.: 0.575

a = 8.9639 Å, b = 8.9639 Å, c = 10.2012 Å
α = 122.96°, β = 122.96°, γ = 36.18°
Sites, in units of the cell vectors:
La 0.0118 0.0118 0.3660
La 0.2742 0.2742 0.6347
La 0.7258 0.7258 0.3653
La 0.9882 0.9882 0.6340
Er 0.1113 0.1113 0.1495
Er 0.2050 0.2050 0.9220
Er 0.4486 0.4486 0.1003
Er 0.5514 0.5514 0.8997
Er 0.7950 0.7950 0.0780
Er 0.8887 0.8887 0.8505
Tm 0.3640 0.3640 0.3502
Tm 0.6360 0.6360 0.6498

***

2.
## Ho3Ag2Au8 (PBE)

Data for a geometry-optimized Ho3Ag2Au8 structure.

Properties
Total DFT energy (no corrections) in eV per atom: -3.891
Calculated formation energy in eV/f.u.: -4.926

a = 11.1849 Å, b = 11.1849 Å, c = 11.1849 Å
α = 28.35°, β = 28.35°, γ = 28.35°
Sites, in units of the cell vectors:
Ho 0.0000 0.0000 0.0000
Ho 0.1898 0.1898 0.1898
Ho 0.8102 0.8102 0.8102
Ag 0.3637 0.3637 0.3637
Ag 0.6363 0.6363 0.6363
Au 0.2280 0.7284 0.7284
Au 0.2716 0.2716 0.7720
Au 0.2716 0.7720 0.2716
Au 0.2813 0.2813 0.2813
Au 0.7187 0.7187 0.7187
Au 0.7284 0.2280 0.7284
Au 0.7284 0.7284 0.2280
Au 0.7720 0.2716 0.2716

***

3.
## Zn2MoBr (PBE)

Data for a geometry-optimized Zn2MoBr structure.

Properties
Total DFT energy (no corrections) in eV per atom: -3.183
Excess energy over the best structure of this formula in the dataset in meV per atom: 351
Formation energy without anion corrections in eV/atom: 0.5802

a = 4.7252 Å, b = 4.7252 Å, c = 3.1837 Å
α = 90.00°, β = 90.00°, γ = 90.00°
Sites, in units of the cell vectors:
Zn 0.0000 0.5000 0.0000
Zn 0.5000 0.0000 0.0000
Mo 0.0000 0.0000 0.5000
Br 0.5000 0.5000 0.5000

***

4.
## LiTbTiOs (PBE)

Data for a geometry-optimized LiTbTiOs structure.

Properties
Total DFT energy (no corrections) in eV per atom: -6.546
Calculated formation energy in eV/f.u.: -0.516

a = 6.5870 Å, b = 6.5870 Å, c = 6.5870 Å
α = 90.00°, β = 90.00°, γ = 90.00°
Sites, in units of the cell vectors:
Li 0.0000 0.0000 0.0000
Li 0.0000 0.5000 0.5000
Li 0.5000 0.0000 0.5000
Li 0.5000 0.5000 0.0000
Tb 0.2500 0.2500 0.7500
Tb 0.2500 0.7500 0.2500
Tb 0.7500 0.2500 0.2500
Tb 0.7500 0.7500 0.7500
Ti 0.2500 0.2500 0.2500
Ti 0.2500 0.7500 0.7500
Ti 0.7500 0.2500 0.7500
Ti 0.7500 0.7500 0.2500
Os 0.0000 0.0000 0.5000
Os 0.0000 0.5000 0.0000
Os 0.5000 0.0000 0.0000
Os 0.5000 0.5000 0.5000

***

5.
## Ac3Pr2Pb4 (PBE)

Data for a geometry-optimized Ac3Pr2Pb4 structure.

Properties
Total DFT energy (no corrections) in eV per atom: -4.525
Excess energy over the best structure of this formula in the dataset in meV per atom: 53
Calculated formation energy in eV/f.u.: -4.003

a = 6.7576 Å, b = 6.7576 Å, c = 10.7450 Å
α = 96.47°, β = 96.47°, γ = 44.39°
Sites, in units of the cell vectors:
Ac 0.0000 0.0000 0.0000
Ac 0.3745 0.3745 0.5896
Ac 0.6255 0.6255 0.4104
Pr 0.3201 0.3201 0.1906
Pr 0.6799 0.6799 0.8094
Pb 0.0865 0.0865 0.6323
Pb 0.3393 0.3393 0.8903
Pb 0.6607 0.6607 0.1097
Pb 0.9135 0.9135 0.3677

***

6.
## HoPuZr2 (PBE)

Data for a geometry-optimized HoPuZr2 structure.

Properties
Total DFT energy (no corrections) in eV per atom: -8.861
Excess energy over the best structure of this formula in the dataset in meV per atom: 0
Calculated formation energy in eV/f.u.: 0.562

a = 4.6430 Å, b = 4.6430 Å, c = 4.6822 Å
α = 90.00°, β = 90.00°, γ = 90.00°
Sites, in units of the cell vectors:
Ho 0.0000 0.0000 0.0000
Pu 0.5000 0.5000 0.0000
Zr 0.0000 0.5000 0.5000
Zr 0.5000 0.0000 0.5000

***

7.
## Cs3Ca2NpO6 (PBE)

Data for a geometry-optimized Cs3Ca2NpO6 structure.

Properties
Total DFT energy (no corrections) in eV per atom: -6.452
Formation energy without anion corrections in eV/atom: -2.3472

a = 6.2146 Å, b = 6.2146 Å, c = 7.1557 Å
α = 98.26°, β = 98.26°, γ = 119.96°
Sites, in units of the cell vectors:
Cs 0.0000 0.0000 0.0000
Cs 0.3304 0.6696 0.0000
Cs 0.6696 0.3304 0.0000
Ca 0.1663 0.8337 0.5000
Ca 0.8337 0.1663 0.5000
Np 0.5000 0.5000 0.5000
O 0.1450 0.4444 0.3346
O 0.2557 0.2557 0.6696
O 0.4444 0.1450 0.3346
O 0.5556 0.8550 0.6654
O 0.7443 0.7443 0.3304
O 0.8550 0.5556 0.6654

***

8.
## AcAs2C (PBE)

Data for a geometry-optimized AcAs2C structure.

Properties
Total DFT energy (no corrections) in eV per atom: -5.207
Calculated formation energy in eV/f.u.: 1.802

a = 4.0078 Å, b = 4.0078 Å, c = 5.1965 Å
α = 90.00°, β = 90.00°, γ = 90.00°
Sites, in units of the cell vectors:
Ac 0.0000 0.0000 0.0000
As 0.0000 0.5000 0.5000
As 0.5000 0.0000 0.5000
C 0.5000 0.5000 0.0000

***

Q: Which of these has the lowest total DFT energy (no corrections)?
A: HoPuZr2

***

Q: Look up the total DFT energy (no corrections) of the sixth one.
A: -8.861 eV per atom

***

Q: total DFT energy (no corrections) of number 5 (Ac3Pr2Pb4)?
A: -4.525 eV per atom

***

Repeat the fourth record exactly.
## LiTbTiOs (PBE)

Data for a geometry-optimized LiTbTiOs structure.

Properties
Total DFT energy (no corrections) in eV per atom: -6.546
Calculated formation energy in eV/f.u.: -0.516

a = 6.5870 Å, b = 6.5870 Å, c = 6.5870 Å
α = 90.00°, β = 90.00°, γ = 90.00°
Sites, in units of the cell vectors:
Li 0.0000 0.0000 0.0000
Li 0.0000 0.5000 0.5000
Li 0.5000 0.0000 0.5000
Li 0.5000 0.5000 0.0000
Tb 0.2500 0.2500 0.7500
Tb 0.2500 0.7500 0.2500
Tb 0.7500 0.2500 0.2500
Tb 0.7500 0.7500 0.7500
Ti 0.2500 0.2500 0.2500
Ti 0.2500 0.7500 0.7500
Ti 0.7500 0.2500 0.7500
Ti 0.7500 0.7500 0.2500
Os 0.0000 0.0000 0.5000
Os 0.0000 0.5000 0.0000
Os 0.5000 0.0000 0.0000
Os 0.5000 0.5000 0.5000